VASP calculation (GGA-PBE) on an optimized crystal structure of Tl5BiH6.

a b c (Å): 6.4857 10.1424 6.4395
angles (deg): 113.21 83.59 141.38
With the nearest neighbours (Å) after each atom.
Element x y z (fractional)
Tl  0.3423  0.8423  0.6847  4 H 2.29-2.42
Tl  0.6776  0.6776  0.3552  4 H 2.26-2.36
Tl  0.6577  0.1577  0.3153  4 H 2.29-2.42
Tl  0.3224  0.3224  0.6448  4 H 2.26-2.36
Tl  0.0000  0.5000  0.0000  6 H 2.41-2.63
H  0.8009  0.4473  0.6448  4 Tl 2.26-2.42
H  0.8439  0.1975  0.6448  4 Tl 2.26-2.42
H  0.1561  0.8025  0.3552  4 Tl 2.26-2.42
H  0.4304  0.3405  0.0000  1 Bi 2.16, 2 Tl 2.36
H  0.5696  0.6595  0.0000  1 Bi 2.16, 2 Tl 2.36
H  0.1991  0.5527  0.3552  4 Tl 2.26-2.42
Bi  0.0000  0.0000  0.0000  2 H 2.16

V   228 Å³ per cell
Space-group type   C2/m
Magnetic moment   0.00 μB/cell
Total energy   -31.2 eV per cell